Ac2Ge6Ir | GGA-PBE | relaxed

Electronic total energy in eV per atom: -5.475
DFT formation energy in eV/atom: -0.499

Unit cell a=5.4490 b=6.4526 c=6.4526 alpha=60.00 beta=90.00 gamma=90.00
Last column: nearest neighbours and their distance in Å.
Positions (direct):
Ge (0.6815, 0.6644, 0.1678)  1 Ir 2.56, 2 Ge 2.73
Ge (0.6815, 0.1678, 0.1678)  1 Ir 2.56, 2 Ge 2.73
Ge (0.3185, 0.8322, 0.3356)  1 Ir 2.56, 2 Ge 2.73
Ge (0.3185, 0.8322, 0.8322)  1 Ir 2.56, 2 Ge 2.73
Ge (0.6815, 0.1678, 0.6644)  1 Ir 2.56, 2 Ge 2.73
Ge (0.3185, 0.3356, 0.8322)  1 Ir 2.56, 2 Ge 2.73
Ir (0.0000, 0.0000, 0.0000)  6 Ge 2.56
Ac (0.1822, 0.3333, 0.3333)  12 Ge 3.29-3.31
Ac (0.8178, 0.6667, 0.6667)  12 Ge 3.29-3.31

---

Ac4GeIr | GGA-PBE | relaxed

Electronic total energy in eV per atom: -5.388
DFT formation energy in eV/atom: -0.402

Unit cell a=6.1822 b=6.1822 c=7.7441 alpha=113.53 beta=113.53 gamma=90.00
Last column: nearest neighbours and their distance in Å.
Positions (direct):
Ac (0.2703, 0.2703, 0.5407)  1 Ir 2.94, 2 Ge 3.10
Ac (0.4958, 0.9958, 0.9916)  2 Ir 3.09, 1 Ge 3.14
Ac (0.7297, 0.7297, 0.4593)  1 Ir 2.94, 2 Ge 3.10
Ac (0.0042, 0.5042, 0.0084)  2 Ir 3.09, 1 Ge 3.14
Ge (0.2500, 0.7500, 0.5000)  6 Ac 3.10-3.14
Ir (0.5000, 0.5000, 0.0000)  6 Ac 2.94-3.09

---

Ac2Ge3Ir5 | GGA-PBE | relaxed

Electronic total energy in eV per atom: -7.258
DFT formation energy in eV/atom: -0.620

Unit cell a=6.0121 b=8.7879 c=8.7879 alpha=70.02 beta=70.00 gamma=70.00
Last column: nearest neighbours and their distance in Å.
Positions (direct):
Ir (0.1271, 0.9863, 0.7595)  3 Ge 2.50-2.52, 2 Ir 2.75
Ir (0.3729, 0.2405, 0.0137)  3 Ge 2.50-2.52, 2 Ir 2.75
Ir (0.9700, 0.2799, 0.2799)  2 Ge 2.53, 2 Ir 2.75
Ir (0.2500, 0.5000, 0.5000)  4 Ge 2.50
Ir (0.0300, 0.7200, 0.7200)  2 Ge 2.53, 2 Ir 2.75
Ir (0.4700, 0.2799, 0.2799)  2 Ge 2.53, 2 Ir 2.75
Ir (0.5300, 0.7200, 0.7200)  2 Ge 2.53, 2 Ir 2.75
Ir (0.7500, 0.5000, 0.5000)  4 Ge 2.50
Ir (0.6271, 0.7595, 0.9863)  3 Ge 2.50-2.52, 2 Ir 2.75
Ir (0.8729, 0.0137, 0.2405)  3 Ge 2.50-2.52, 2 Ir 2.75
Ge (0.2500, 0.0000, 0.0000)  4 Ir 2.52
Ge (0.1081, 0.2519, 0.5319)  5 Ir 2.50-2.53
Ge (0.8919, 0.7481, 0.4681)  5 Ir 2.50-2.53
Ge (0.6081, 0.5319, 0.2519)  5 Ir 2.50-2.53
Ge (0.7500, 0.0000, 0.0000)  4 Ir 2.52
Ge (0.3919, 0.4681, 0.7481)  5 Ir 2.50-2.53
Ac (0.1367, 0.6286, 0.0980)  10 Ir 3.25-3.55, 6 Ge 3.28-3.47
Ac (0.8633, 0.3714, 0.9020)  10 Ir 3.25-3.55, 6 Ge 3.28-3.47
Ac (0.3633, 0.9020, 0.3714)  10 Ir 3.25-3.55, 6 Ge 3.28-3.47
Ac (0.6367, 0.0980, 0.6286)  10 Ir 3.25-3.55, 6 Ge 3.28-3.47

---

Ac2Ge4Ir5 | GGA-PBE | relaxed

Electronic total energy in eV per atom: -7.093
DFT formation energy in eV/atom: -0.639

Unit cell a=5.7848 b=5.8261 c=8.0216 alpha=79.69 beta=68.86 gamma=60.23
Last column: nearest neighbours and their distance in Å.
Positions (direct):
Ir (0.0000, 0.5000, 0.0000)  4 Ge 2.55
Ir (0.2500, 0.5000, 0.5000)  4 Ge 2.49
Ir (0.5000, 0.5000, 0.0000)  4 Ge 2.55
Ir (0.5000, 0.0000, 0.0000)  4 Ge 2.52
Ir (0.7500, 0.5000, 0.5000)  4 Ge 2.49
Ge (0.7905, 0.6744, 0.7447)  5 Ir 2.49-2.55
Ge (0.2095, 0.3256, 0.2553)  5 Ir 2.49-2.55
Ge (0.4648, 0.3256, 0.7447)  5 Ir 2.49-2.55
Ge (0.5352, 0.6744, 0.2553)  5 Ir 2.49-2.55
Ac (0.8709, 0.0000, 0.2582)  6 Ge 3.33-3.41, 10 Ir 3.43-3.50
Ac (0.1291, 0.0000, 0.7418)  6 Ge 3.33-3.41, 10 Ir 3.43-3.50

---

Ac12Ge5Ir2 | GGA-PBE | relaxed

Electronic total energy in eV per atom: -5.234
DFT formation energy in eV/atom: -0.492

Unit cell a=8.3046 b=9.8536 c=10.1488 alpha=104.77 beta=90.00 gamma=114.92
Last column: nearest neighbours and their distance in Å.
Positions (direct):
Ac (0.9888, 0.9775, 0.1856)  2 Ir 2.94, 1 Ge 3.14
Ac (0.1039, 0.7081, 0.4321)  4 Ge 3.25-3.35
Ac (0.8961, 0.2919, 0.5679)  4 Ge 3.25-3.35
Ac (0.0957, 0.6567, 0.9068)  1 Ir 2.95, 2 Ge 3.26-3.30
Ac (0.9043, 0.3433, 0.0932)  1 Ir 2.95, 2 Ge 3.26-3.30
Ac (0.6042, 0.7081, 0.4321)  4 Ge 3.25-3.35
Ac (0.4390, 0.3433, 0.0932)  1 Ir 2.95, 2 Ge 3.26-3.30
Ac (0.4984, 0.9967, 0.7762)  2 Ir 2.98, 1 Ge 3.29
Ac (0.0112, 0.0225, 0.8144)  2 Ir 2.94, 1 Ge 3.14
Ac (0.5016, 0.0033, 0.2238)  2 Ir 2.98, 1 Ge 3.29
Ac (0.5610, 0.6567, 0.9068)  1 Ir 2.95, 2 Ge 3.26-3.30
Ac (0.3958, 0.2919, 0.5679)  4 Ge 3.25-3.35
Ge (0.7009, 0.4017, 0.3665)  7 Ac 3.25-3.45
Ge (0.2991, 0.5983, 0.6335)  7 Ac 3.25-3.45
Ge (0.6890, 0.3779, 0.8305)  7 Ac 3.26-3.38
Ge (0.0000, 0.0000, 0.5000)  6 Ac 3.14-3.25
Ge (0.3110, 0.6221, 0.1695)  7 Ac 3.26-3.38
Ir (0.7343, 0.0000, 0.0000)  6 Ac 2.94-2.98
Ir (0.2657, 0.0000, 0.0000)  6 Ac 2.94-2.98

---

Ac8GeIr4 | GGA-PBE | relaxed

Electronic total energy in eV per atom: -6.121
DFT formation energy in eV/atom: -0.511

Unit cell a=4.4968 b=11.0606 c=10.7929 alpha=82.72 beta=77.98 gamma=78.27
Last column: nearest neighbours and their distance in Å.
Positions (direct):
Ac (0.8357, 0.3330, 0.9956)  3 Ir 2.99
Ac (0.4584, 0.7215, 0.3616)  3 Ir 2.94-2.97
Ac (0.8554, 0.5898, 0.6993)  3 Ir 3.04-3.05, 1 Ge 3.22
Ac (0.1631, 0.6545, 0.0194)  3 Ir 3.05-3.11, 2 Ge 3.26
Ac (0.1362, 0.4001, 0.3274)  3 Ir 2.96
Ac (0.7905, 0.0615, 0.3574)  3 Ir 2.96-3.03
Ac (0.5410, 0.2624, 0.6556)  3 Ir 2.92-2.98
Ac (0.2058, 0.9246, 0.6638)  3 Ir 3.04-3.10, 2 Ge 3.21
Ir (0.8398, 0.8156, 0.5048)  6 Ac 2.94-3.10
Ir (0.6463, 0.5233, 0.1842)  6 Ac 2.96-3.11
Ir (0.1627, 0.1719, 0.5028)  6 Ac 2.96-3.04
Ir (0.3556, 0.4479, 0.8408)  6 Ac 2.92-3.05
Ge (0.6546, 0.8262, 0.8646)  5 Ac 3.21-3.26

---

Ac3Ge3Ir2 | GGA-PBE | relaxed

Electronic total energy in eV per atom: -6.211
DFT formation energy in eV/atom: -0.723

Unit cell a=4.3853 b=6.2938 c=15.5345 alpha=90.00 beta=90.00 gamma=110.39
Last column: nearest neighbours and their distance in Å.
Positions (direct):
Ge (0.3478, 0.6956, 0.2500)  2 Ir 2.70
Ge (0.3422, 0.6844, 0.9631)  3 Ir 2.55-2.66
Ge (0.6522, 0.3044, 0.7500)  2 Ir 2.70
Ge (0.3422, 0.6844, 0.5369)  3 Ir 2.55-2.66
Ge (0.6578, 0.3156, 0.0369)  3 Ir 2.55-2.66
Ge (0.6578, 0.3156, 0.4631)  3 Ir 2.55-2.66
Ac (0.0723, 0.1446, 0.6054)  7 Ge 3.27-3.65, 3 Ir 3.30-3.44
Ac (0.6486, 0.2971, 0.2500)  5 Ge 3.21-3.55, 4 Ir 3.24
Ac (0.9277, 0.8554, 0.1054)  7 Ge 3.27-3.65, 3 Ir 3.30-3.44
Ac (0.3514, 0.7029, 0.7500)  5 Ge 3.21-3.55, 4 Ir 3.24
Ac (0.9277, 0.8554, 0.3946)  7 Ge 3.27-3.65, 3 Ir 3.30-3.44
Ac (0.0723, 0.1446, 0.8946)  7 Ge 3.27-3.65, 3 Ir 3.30-3.44
Ir (0.2191, 0.4382, 0.1064)  4 Ge 2.55-2.70
Ir (0.7809, 0.5618, 0.8936)  4 Ge 2.55-2.70
Ir (0.2191, 0.4382, 0.3936)  4 Ge 2.55-2.70
Ir (0.7809, 0.5618, 0.6064)  4 Ge 2.55-2.70

---

Ac3GeIr | GGA-PBE | relaxed

Electronic total energy in eV per atom: -5.779
DFT formation energy in eV/atom: -0.619

Unit cell a=4.4946 b=8.7260 c=16.7911 alpha=90.00 beta=90.00 gamma=90.00
Last column: nearest neighbours and their distance in Å.
Positions (direct):
Ac (0.7500, 0.1411, 0.0555)  2 Ir 3.02, 2 Ge 3.36
Ac (0.7500, 0.8404, 0.2107)  1 Ir 3.00, 2 Ge 3.23
Ac (0.2500, 0.0151, 0.3995)  3 Ir 3.06-3.19
Ac (0.2500, 0.5151, 0.1005)  3 Ir 3.06-3.19
Ac (0.7500, 0.6411, 0.4445)  2 Ir 3.02, 2 Ge 3.36
Ac (0.2500, 0.3589, 0.5555)  2 Ir 3.02, 2 Ge 3.36
Ac (0.7500, 0.9849, 0.6005)  3 Ir 3.06-3.19
Ac (0.2500, 0.1596, 0.7893)  1 Ir 3.00, 2 Ge 3.23
Ac (0.7500, 0.3404, 0.2893)  1 Ir 3.00, 2 Ge 3.23
Ac (0.2500, 0.8589, 0.9445)  2 Ir 3.02, 2 Ge 3.36
Ac (0.7500, 0.4849, 0.8995)  3 Ir 3.06-3.19
Ac (0.2500, 0.6596, 0.7107)  1 Ir 3.00, 2 Ge 3.23
Ir (0.7500, 0.2251, 0.4576)  6 Ac 3.00-3.19
Ir (0.7500, 0.7251, 0.0424)  6 Ac 3.00-3.19
Ir (0.2500, 0.7749, 0.5424)  6 Ac 3.00-3.19
Ir (0.2500, 0.2749, 0.9576)  6 Ac 3.00-3.19
Ge (0.2500, 0.1308, 0.2044)  7 Ac 3.23-3.43
Ge (0.2500, 0.6308, 0.2956)  7 Ac 3.23-3.43
Ge (0.7500, 0.3692, 0.7044)  7 Ac 3.23-3.43
Ge (0.7500, 0.8692, 0.7956)  7 Ac 3.23-3.43

---

no.,D(E_F) (states/eV per cell)
1,3.216
2,5.188
3,12.577
4,5.344
5,19.298
6,9.009
7,9.729
8,15.168